[1]
# Y2HoAgC, optimized geometry, DFT PBE
data_Y2HoAgC
_chemical_formula_sum 'Y2 Ho1 Ag1 C1'
_space_group_name_H-M_alt 'P 4/m m m'
_space_group_IT_number 123
_space_group_name_Hall '-P 4 2'
_cell_length_a 4.915
_cell_length_b 4.915
_cell_length_c 4.863
_cell_angle_alpha 90.00
_cell_angle_beta 90.00
_cell_angle_gamma 90.00
loop_
_atom_site_label
_atom_site_type_symbol
_atom_site_fract_x
_atom_site_fract_y
_atom_site_fract_z
Y1 Y 0.000 0.500 0.000
Ho1 Ho 0.000 0.000 0.500
Ag1 Ag 0.500 0.500 0.500
C1 C 0.000 0.000 0.000
# total magnetic moment	1.0	μB/f.u.
# D(E_F)	1.322	states/eV/atom
# ΔE_f	-0.2239	eV/atom

---

[2]
# BaTaO2, optimized geometry, DFT PBE
data_BaTaO2
_chemical_formula_sum 'Ba3 Ta3 O6'
_space_group_name_H-M_alt 'R -3 m'
_space_group_IT_number 166
_space_group_name_Hall '-R 3 2"'
_cell_length_a 3.5197
_cell_length_b 3.5197
_cell_length_c 19.6709
_cell_angle_alpha 90.00
_cell_angle_beta 90.00
_cell_angle_gamma 120.00
loop_
_atom_site_label
_atom_site_type_symbol
_atom_site_fract_x
_atom_site_fract_y
_atom_site_fract_z
Ba1 Ba 0.0000 0.0000 0.0000
Ta1 Ta 0.0000 0.0000 0.5000
O1 O 0.0000 0.0000 0.1330
# formation energy without anion corrections	-38.23	kcal/mol of atoms
# E above lowest polymorph	241	meV/atom
# total magnetic moment	0.0	μB/f.u.
# D(E_F)	0.692	states/eV/atom

---

[3]
# Ca2AlInSe5, optimized geometry, DFT PBE
data_Ca2AlInSe5
_chemical_formula_sum 'Ca8 Al4 In4 Se20'
_space_group_name_H-M_alt 'C m c 21'
_space_group_IT_number 36
_space_group_name_Hall 'C 2c -2'
_cell_length_a 3.974
_cell_length_b 18.221
_cell_length_c 12.564
_cell_angle_alpha 90.00
_cell_angle_beta 90.00
_cell_angle_gamma 90.00
loop_
_atom_site_label
_atom_site_type_symbol
_atom_site_fract_x
_atom_site_fract_y
_atom_site_fract_z
Ca1 Ca 0.000 0.106 0.000
Ca2 Ca 0.000 0.122 0.648
Al1 Al 0.000 0.438 0.771
In1 In 0.000 0.218 0.367
Se1 Se 0.000 0.045 0.381
Se2 Se 0.000 0.279 0.019
Se3 Se 0.000 0.311 0.716
Se4 Se 0.000 0.363 0.331
Se5 Se 0.000 0.500 0.105
# formation energy without anion corrections	-28.64	kcal/mol of atoms
# total magnetic moment	0.0	μB/f.u.

---

[4]
# Tb4Cu2Hg, optimized geometry, DFT PBE
data_Tb4Cu2Hg
_chemical_formula_sum 'Tb12 Cu6 Hg3'
_space_group_name_H-M_alt 'R -3 m'
_space_group_IT_number 166
_space_group_name_Hall '-R 3 2"'
_cell_length_a 5.0249
_cell_length_b 5.0249
_cell_length_c 24.0734
_cell_angle_alpha 90.00
_cell_angle_beta 90.00
_cell_angle_gamma 120.00
loop_
_atom_site_label
_atom_site_type_symbol
_atom_site_fract_x
_atom_site_fract_y
_atom_site_fract_z
Tb1 Tb 0.0000 0.0000 0.1171
Tb2 Tb 0.0000 0.0000 0.3694
Cu1 Cu 0.0000 0.0000 0.2483
Hg1 Hg 0.0000 0.0000 0.5000
# E above lowest polymorph	0	meV/atom
# total magnetic moment	0.0	μB/f.u.
# D(E_F)	1.058	states/eV/atom
# ΔE_f	-0.1632	eV/atom

---

[5]
# Tb7Mg2Ru2, optimized geometry, DFT PBE
data_Tb7Mg2Ru2
_chemical_formula_sum 'Tb14 Mg4 Ru4'
_space_group_name_H-M_alt 'C m m m'
_space_group_IT_number 65
_space_group_name_Hall '-C 2 2'
_cell_length_a 8.014
_cell_length_b 11.040
_cell_length_c 7.294
_cell_angle_alpha 90.00
_cell_angle_beta 90.00
_cell_angle_gamma 90.00
loop_
_atom_site_label
_atom_site_type_symbol
_atom_site_fract_x
_atom_site_fract_y
_atom_site_fract_z
Tb1 Tb 0.000 0.000 0.000
Tb2 Tb 0.000 0.500 0.234
Tb3 Tb 0.250 0.250 0.247
Mg1 Mg 0.174 0.000 0.500
Ru1 Ru 0.000 0.292 0.000
# total magnetic moment	0.0	μB/f.u.
# D(E_F)	0.868	states/eV/atom
# ΔE_f	-0.0743	eV/atom

---

[6]
# Ac3GeIr2, optimized geometry, DFT PBE
data_Ac3GeIr2
_chemical_formula_sum 'Ac18 Ge6 Ir12'
_space_group_name_H-M_alt 'R -3 c'
_space_group_IT_number 167
_space_group_name_Hall '-R 3 2"c'
_cell_length_a 8.1548
_cell_length_b 8.1548
_cell_length_c 18.7219
_cell_angle_alpha 90.00
_cell_angle_beta 90.00
_cell_angle_gamma 120.00
loop_
_atom_site_label
_atom_site_type_symbol
_atom_site_fract_x
_atom_site_fract_y
_atom_site_fract_z
Ac1 Ac 0.0000 0.2934 0.2500
Ge1 Ge 0.0000 0.0000 0.0000
Ir1 Ir 0.0000 0.0000 0.1413
# total magnetic moment	0.0	μB/f.u.
# D(E_F)	0.523	states/eV/atom
# ΔE_f	-0.5902	eV/atom

---

[7]
# HoErTe2, optimized geometry, DFT PBE
data_HoErTe2
_chemical_formula_sum 'Ho2 Er2 Te4'
_space_group_name_H-M_alt 'P 1 c 1'
_space_group_IT_number 7
_space_group_name_Hall 'P -2yc'
_cell_length_a 4.431
_cell_length_b 9.666
_cell_length_c 8.117
_cell_angle_alpha 90.00
_cell_angle_beta 122.98
_cell_angle_gamma 90.00
loop_
_atom_site_label
_atom_site_type_symbol
_atom_site_fract_x
_atom_site_fract_y
_atom_site_fract_z
Ho1 Ho 0.000 0.085 0.000
Er1 Er 0.162 0.321 0.661
Te1 Te 0.777 0.177 0.278
Te2 Te 0.916 0.412 0.915
# formation energy without anion corrections	-20.75	kcal/mol of atoms
# E above lowest polymorph	360	meV/atom
# total magnetic moment	0.0	μB/f.u.
# D(E_F)	0.421	states/eV/atom

---

[8]
# CeSi2Au6, optimized geometry, DFT PBE
data_CeSi2Au6
_chemical_formula_sum 'Ce1 Si2 Au6'
_space_group_name_H-M_alt 'P 4/m m m'
_space_group_IT_number 123
_space_group_name_Hall '-P 4 2'
_cell_length_a 4.381
_cell_length_b 4.381
_cell_length_c 8.840
_cell_angle_alpha 90.00
_cell_angle_beta 90.00
_cell_angle_gamma 90.00
loop_
_atom_site_label
_atom_site_type_symbol
_atom_site_fract_x
_atom_site_fract_y
_atom_site_fract_z
Ce1 Ce 0.000 0.000 0.000
Si1 Si 0.500 0.500 0.132
Au1 Au 0.000 0.000 0.500
Au2 Au 0.000 0.500 0.273
Au3 Au 0.500 0.500 0.500
# formation energy without anion corrections	-7.65	kcal/mol of atoms
# total magnetic moment	0.9	μB/f.u.
# D(E_F)	1.024	states/eV/atom

---

[9]
# Th6Ir2Pt3Au, optimized geometry, DFT PBE
data_Th6Ir2Pt3Au
_chemical_formula_sum 'Th12 Ir4 Pt6 Au2'
_space_group_name_H-M_alt 'C 1 2/m 1'
_space_group_IT_number 12
_space_group_name_Hall '-C 2y'
_cell_length_a 18.087
_cell_length_b 4.195
_cell_length_c 8.428
_cell_angle_alpha 90.00
_cell_angle_beta 100.84
_cell_angle_gamma 90.00
loop_
_atom_site_label
_atom_site_type_symbol
_atom_site_fract_x
_atom_site_fract_y
_atom_site_fract_z
Th1 Th 0.007 0.000 0.264
Th2 Th 0.168 0.500 0.583
Th3 Th 0.173 0.500 0.100
Ir1 Ir 0.168 0.000 0.336
Pt1 Pt 0.000 0.500 0.500
Pt2 Pt 0.162 0.000 0.839
Au1 Au 0.000 0.500 0.000
# total magnetic moment	0.0	μB/f.u.
# D(E_F)	0.581	states/eV/atom
# ΔE_f	-1.0344	eV/atom

---

[10]
# Sm12Y6Mg, optimized geometry, DFT PBE
data_Sm12Y6Mg
_chemical_formula_sum 'Sm36 Y18 Mg3'
_space_group_name_H-M_alt 'R -3'
_space_group_IT_number 148
_space_group_name_Hall '-R 3'
_cell_length_a 12.3051
_cell_length_b 12.3051
_cell_length_c 14.5408
_cell_angle_alpha 90.00
_cell_angle_beta 90.00
_cell_angle_gamma 120.00
loop_
_atom_site_label
_atom_site_type_symbol
_atom_site_fract_x
_atom_site_fract_y
_atom_site_fract_z
Sm1 Sm 0.0376 0.8560 0.3073
Sm2 Sm 0.0691 0.2021 0.9088
Y1 Y 0.0309 0.5948 0.2032
Mg1 Mg 0.0000 0.0000 0.5000
# E above lowest polymorph	13	meV/atom
# total magnetic moment	0.0	μB/f.u.
# D(E_F)	1.900	states/eV/atom
# ΔE_f	0.1382	eV/atom